[1]
A plane-wave DFT calculation with meta-GGA SCAN was carried out for AlSn3S at its PBEsol-relaxed geometry.

Output
E_form (uncorrected) (eV/atom): 0.593
Polymorph energy (0 for the lowest one) (eV per atom): 0.0167

a b c (Å): 5.1828 5.1828 5.1828
angles (deg): 90.00 90.00 90.00
Fractional positions:
Al: 0.0000 0.0000 0.0000
Sn: 0.0000 0.0000 0.5000
Sn: 0.0000 0.5000 0.0000
Sn: 0.5000 0.0000 0.0000
S: 0.5000 0.5000 0.5000

[2]
A plane-wave DFT calculation with meta-GGA SCAN was carried out for AlCo2Si at its PBEsol-relaxed geometry.

Output
E_form (uncorrected) (eV/atom): -0.276

a b c (Å): 2.6393 3.5117 4.8564
angles (deg): 90.00 90.00 90.00
Fractional positions:
Al: 0.0000 0.0000 0.0000
Co: 0.0000 0.0000 0.5027
Co: 0.5000 0.5000 0.1907
Si: 0.5000 0.5000 0.6803

[3]
A plane-wave DFT calculation with meta-GGA SCAN was carried out for Si2AsOs at its PBEsol-relaxed geometry.

Output
E_form (uncorrected) (eV/atom): 0.002

a b c (Å): 4.3384 4.3870 4.3870
angles (deg): 53.77 90.00 90.00
Fractional positions:
Si: 0.0000 0.0000 0.0000
Si: 0.5000 0.1951 0.1951
As: 0.0000 0.6789 0.6789
Os: 0.5000 0.8614 0.8614

[4]
A plane-wave DFT calculation with meta-GGA SCAN was carried out for CuPPb at its PBEsol-relaxed geometry.

Output
Polymorph energy (0 for the lowest one) (eV per atom): 0.0000

a b c (Å): 3.9321 3.9321 4.3443
angles (deg): 90.00 90.00 120.00
Fractional positions:
Cu: 0.0000 0.0000 0.0000
P: 0.6667 0.3333 0.0000
Pb: 0.3333 0.6667 0.5000

[5]
A plane-wave DFT calculation with meta-GGA SCAN was carried out for SbIrBr2 at its PBEsol-relaxed geometry.

Output
E_form (uncorrected) (eV/atom): 0.340
Polymorph energy (0 for the lowest one) (eV per atom): 0.3684

a b c (Å): 3.2772 3.2772 8.5075
angles (deg): 90.00 90.00 97.23
Fractional positions:
Sb: 0.0000 0.0000 0.0000
Ir: 0.5000 0.5000 0.8220
Br: 0.0000 0.0000 0.6176
Br: 0.5000 0.5000 0.2605

[6]
A plane-wave DFT calculation with meta-GGA SCAN was carried out for TcRhBr2 at its PBEsol-relaxed geometry.

Output
E_form (uncorrected) (eV/atom): 0.861
Polymorph energy (0 for the lowest one) (eV per atom): 0.5579

a b c (Å): 2.9738 4.2321 5.5216
angles (deg): 90.00 90.00 90.00
Fractional positions:
Tc: 0.0000 0.0000 0.0000
Rh: 0.5000 0.0000 0.5000
Br: 0.0000 0.5000 0.5000
Br: 0.5000 0.5000 0.0000

What did the first record say?
A plane-wave DFT calculation with meta-GGA SCAN was carried out for AlSn3S at its PBEsol-relaxed geometry.

Output
E_form (uncorrected) (eV/atom): 0.593
Polymorph energy (0 for the lowest one) (eV per atom): 0.0167

a b c (Å): 5.1828 5.1828 5.1828
angles (deg): 90.00 90.00 90.00
Fractional positions:
Al: 0.0000 0.0000 0.0000
Sn: 0.0000 0.0000 0.5000
Sn: 0.0000 0.5000 0.0000
Sn: 0.5000 0.0000 0.0000
S: 0.5000 0.5000 0.5000